DFT (GGA-PBE) results for a relaxed structure of CaNd3Y.

Output
energy above the most stable polymorph in this dataset	0.2007	eV/atom
N(E_F)	17.93	states/eV per cell
formation enthalpy at 0 K	0.36	eV per atom
VASP energy	-41.91	eV per cell

a b c (Å): 12.3856 12.3856 12.3856
angles (deg): 29.14 29.14 29.14
Fractional coordinates of all 10 atoms:
Ca: 0.1668 0.1668 0.1668
Ca: 0.8332 0.8332 0.8332
Nd: 0.0835 0.4035 0.7495
Nd: 0.2505 0.9165 0.5965
Nd: 0.4035 0.7495 0.0835
Nd: 0.5965 0.2505 0.9165
Nd: 0.7495 0.0835 0.4035
Nd: 0.9165 0.5965 0.2505
Y: 0.3336 0.3336 0.3336
Y: 0.6664 0.6664 0.6664

DFT (GGA-PBE) results for a relaxed structure of Ca2Nd5Y2.

Output
N(E_F)	10.93	states/eV per cell
formation enthalpy at 0 K	0.11	eV per atom
VASP energy	-39.75	eV per cell

a b c (Å): 7.6572 7.6572 13.4579
angles (deg): 116.67 116.67 28.24
Fractional coordinates of all 9 atoms:
Ca: 0.0955 0.0955 0.3481
Ca: 0.9045 0.9045 0.6519
Nd: 0.0000 0.0000 0.0000
Nd: 0.2994 0.2994 0.8200
Nd: 0.3855 0.3855 0.3920
Nd: 0.6145 0.6145 0.6080
Nd: 0.7006 0.7006 0.1800
Y: 0.3588 0.3588 0.1081
Y: 0.6412 0.6412 0.8919

DFT (GGA-PBE) results for a relaxed structure of CaNd8Y3.

Output
N(E_F)	17.20	states/eV per cell
formation enthalpy at 0 K	0.03	eV per atom
VASP energy	-59.20	eV per cell

a b c (Å): 3.6682 9.7248 12.7185
angles (deg): 109.41 90.06 100.80
Fractional coordinates of all 12 atoms:
Ca: 0.0000 0.0000 0.0000
Nd: 0.0020 0.0040 0.5041
Nd: 0.1674 0.3355 0.4176
Nd: 0.1715 0.3406 0.9165
Nd: 0.3293 0.6584 0.8315
Nd: 0.3356 0.6703 0.3357
Nd: 0.5009 0.0014 0.2585
Nd: 0.6718 0.3427 0.1718
Nd: 0.8375 0.6719 0.5897
Y: 0.5027 0.0036 0.7469
Y: 0.6675 0.3346 0.6694
Y: 0.8329 0.6644 0.0857

DFT (GGA-PBE) results for a relaxed structure of CaNd2Y6.

Output
N(E_F)	27.03	states/eV per cell
formation enthalpy at 0 K	0.17	eV per atom
VASP energy	-97.64	eV per cell

a b c (Å): 9.2993 9.2993 11.5119
angles (deg): 127.58 127.58 59.27
Fractional coordinates of all 18 atoms:
Ca: 0.0142 0.9858 0.7500
Ca: 0.9858 0.0142 0.2500
Nd: 0.1879 0.5192 0.1650
Nd: 0.4808 0.8121 0.3350
Nd: 0.5192 0.1879 0.6650
Nd: 0.8121 0.4808 0.8350
Y: 0.1248 0.1889 0.6496
Y: 0.1889 0.1248 0.1496
Y: 0.1969 0.4963 0.5272
Y: 0.2437 0.5891 0.9129
Y: 0.4109 0.7563 0.5871
Y: 0.4963 0.1969 0.0272
Y: 0.5037 0.8031 0.9728
Y: 0.5891 0.2437 0.4129
Y: 0.7563 0.4109 0.0871
Y: 0.8031 0.5037 0.4728
Y: 0.8111 0.8752 0.8504
Y: 0.8752 0.8111 0.3504

DFT (GGA-PBE) results for a relaxed structure of Ca2Nd5Y6.

Output
N(E_F)	40.89	states/eV per cell
formation enthalpy at 0 K	0.13	eV per atom
VASP energy	-130.00	eV per cell

a b c (Å): 12.2254 20.7198 3.5928
angles (deg): 90.00 90.00 90.00
Fractional coordinates of all 26 atoms:
Ca: 0.1532 0.2167 0.0000
Ca: 0.3468 0.7167 0.0000
Ca: 0.6532 0.2833 0.0000
Ca: 0.8468 0.7833 0.0000
Nd: 0.0000 0.5000 0.5000
Nd: 0.1095 0.7839 0.5000
Nd: 0.2055 0.0507 0.5000
Nd: 0.2945 0.5507 0.5000
Nd: 0.3905 0.2839 0.5000
Nd: 0.5000 0.0000 0.5000
Nd: 0.6095 0.7161 0.5000
Nd: 0.7055 0.4493 0.5000
Nd: 0.7945 0.9493 0.5000
Nd: 0.8905 0.2161 0.5000
Y: 0.0564 0.9244 0.0000
Y: 0.0727 0.6397 0.0000
Y: 0.1819 0.3822 0.5000
Y: 0.3181 0.8822 0.5000
Y: 0.4273 0.1397 0.0000
Y: 0.4436 0.4244 0.0000
Y: 0.5564 0.5756 0.0000
Y: 0.5727 0.8603 0.0000
Y: 0.6819 0.1178 0.5000
Y: 0.8181 0.6178 0.5000
Y: 0.9273 0.3603 0.0000
Y: 0.9436 0.0756 0.0000

DFT (GGA-PBE) results for a relaxed structure of CaNd7Y3.

Output
energy above the most stable polymorph in this dataset	0.0168	eV/atom
N(E_F)	15.42	states/eV per cell
formation enthalpy at 0 K	0.23	eV per atom
VASP energy	-52.29	eV per cell

a b c (Å): 7.8566 7.8566 6.5910
angles (deg): 93.73 93.73 81.75
Fractional coordinates of all 11 atoms:
Ca: 0.0000 0.0000 0.0000
Nd: 0.0000 0.0000 0.5000
Nd: 0.0749 0.4204 0.7554
Nd: 0.2650 0.2650 0.2915
Nd: 0.4204 0.0749 0.7554
Nd: 0.5796 0.9251 0.2446
Nd: 0.7350 0.7350 0.7085
Nd: 0.9251 0.5796 0.2446
Y: 0.3325 0.6675 0.5000
Y: 0.5000 0.5000 0.0000
Y: 0.6675 0.3325 0.5000

DFT (GGA-PBE) results for a relaxed structure of CaNd2Y4.

Output
N(E_F)	14.72	states/eV per cell
formation enthalpy at 0 K	0.24	eV per atom
VASP energy	-35.74	eV per cell

a b c (Å): 6.9560 6.9560 6.9560
angles (deg): 103.35 103.35 122.55
Fractional coordinates of all 7 atoms:
Ca: 0.0000 0.0000 0.0000
Nd: 0.2500 0.7500 0.5000
Nd: 0.7500 0.2500 0.5000
Y: 0.3013 0.3013 0.6027
Y: 0.3013 0.6987 0.0000
Y: 0.6987 0.3013 0.0000
Y: 0.6987 0.6987 0.3973

DFT (GGA-PBE) results for a relaxed structure of CaNd3Y7.

Output
energy above the most stable polymorph in this dataset	0.0000	eV/atom
N(E_F)	18.00	states/eV per cell
formation enthalpy at 0 K	0.22	eV per atom
VASP energy	-59.15	eV per cell

a b c (Å): 7.1876 7.1876 8.7779
angles (deg): 90.00 90.00 120.00
Fractional coordinates of all 11 atoms:
Ca: 0.0000 0.0000 0.0000
Nd: 0.1700 0.3400 0.3436
Nd: 0.1700 0.8300 0.3436
Nd: 0.6600 0.8300 0.3436
Y: 0.0041 0.5021 0.9992
Y: 0.3333 0.6667 0.6765
Y: 0.3359 0.1680 0.6692
Y: 0.4979 0.5021 0.9992
Y: 0.4979 0.9959 0.9992
Y: 0.8320 0.1680 0.6692
Y: 0.8320 0.6641 0.6692

DFT (GGA-PBE) results for a relaxed structure of CaNd12Y5.

Output
N(E_F)	28.60	states/eV per cell
formation enthalpy at 0 K	0.03	eV per atom
VASP energy	-91.00	eV per cell

a b c (Å): 10.9736 5.1901 10.9854
angles (deg): 90.00 90.39 90.00
Fractional coordinates of all 18 atoms:
Ca: 0.0000 0.0000 0.0000
Nd: 0.0014 0.0000 0.6628
Nd: 0.1677 0.5000 0.5006
Nd: 0.1714 0.5000 0.1716
Nd: 0.3333 0.0000 0.3331
Nd: 0.3372 0.0000 0.9987
Nd: 0.4992 0.5000 0.8325
Nd: 0.5008 0.5000 0.1675
Nd: 0.6628 0.0000 0.0013
Nd: 0.6667 0.0000 0.6669
Nd: 0.8286 0.5000 0.8284
Nd: 0.8323 0.5000 0.4994
Nd: 0.9986 0.0000 0.3372
Y: 0.1717 0.5000 0.8282
Y: 0.3340 0.0000 0.6661
Y: 0.5000 0.5000 0.5000
Y: 0.6660 0.0000 0.3339
Y: 0.8283 0.5000 0.1718

DFT (GGA-PBE) results for a relaxed structure of CaNd3Y4.

Output
N(E_F)	14.20	states/eV per cell
formation enthalpy at 0 K	0.18	eV per atom
VASP energy	-40.68	eV per cell

a b c (Å): 12.1971 12.1971 6.9573
angles (deg): 106.50 106.50 16.35
Fractional coordinates of all 8 atoms:
Ca: 0.0000 0.0000 0.0000
Nd: 0.2583 0.2583 0.2608
Nd: 0.5000 0.5000 0.5000
Nd: 0.7417 0.7417 0.7392
Y: 0.1264 0.1264 0.3861
Y: 0.1270 0.1270 0.8655
Y: 0.8730 0.8730 0.1345
Y: 0.8736 0.8736 0.6139

DFT (GGA-PBE) results for a relaxed structure of CaNdY6.

Output
N(E_F)	13.84	states/eV per cell
formation enthalpy at 0 K	0.07	eV per atom
VASP energy	-45.03	eV per cell

a b c (Å): 6.2778 6.2778 10.2308
angles (deg): 114.15 114.15 48.15
Fractional coordinates of all 8 atoms:
Ca: 0.0000 0.0000 0.0000
Nd: 0.0000 0.0000 0.5000
Y: 0.2478 0.2478 0.8708
Y: 0.2516 0.2516 0.3790
Y: 0.4980 0.4980 0.2568
Y: 0.5020 0.5020 0.7432
Y: 0.7484 0.7484 0.6210
Y: 0.7522 0.7522 0.1292

DFT (GGA-PBE) results for a relaxed structure of CaNd5Y12.

Output
N(E_F)	25.01	states/eV per cell
formation enthalpy at 0 K	0.03	eV per atom
VASP energy	-102.82	eV per cell

a b c (Å): 10.8512 10.8512 6.2637
angles (deg): 106.61 106.61 60.02
Fractional coordinates of all 18 atoms:
Ca: 0.0000 0.0000 0.0000
Nd: 0.1685 0.1685 0.5096
Nd: 0.3329 0.3329 0.0017
Nd: 0.5000 0.5000 0.5000
Nd: 0.6671 0.6671 0.9983
Nd: 0.8315 0.8315 0.4904
Y: 0.9996 0.3368 0.9993
Y: 0.0004 0.6632 0.0007
Y: 0.1657 0.5012 0.5006
Y: 0.1715 0.8285 0.5000
Y: 0.3368 0.9996 0.9993
Y: 0.3367 0.6633 0.0000
Y: 0.4988 0.8343 0.4994
Y: 0.5012 0.1657 0.5006
Y: 0.6632 0.0004 0.0007
Y: 0.6633 0.3367 0.0000
Y: 0.8285 0.1715 0.5000
Y: 0.8343 0.4988 0.4994

DFT (GGA-PBE) results for a relaxed structure of CaNd2Y.

Output
energy above the most stable polymorph in this dataset	0.0766	eV/atom
N(E_F)	6.76	states/eV per cell
formation enthalpy at 0 K	0.11	eV per atom
VASP energy	-17.57	eV per cell

a b c (Å): 5.9675 5.9675 3.9982
angles (deg): 90.00 90.00 90.00
Fractional coordinates of all 4 atoms:
Ca: 0.0000 0.0000 0.0000
Nd: 0.0000 0.5000 0.5000
Nd: 0.5000 0.0000 0.5000
Y: 0.5000 0.5000 0.0000

DFT (GGA-PBE) results for a relaxed structure of CaNd6Y3.

Output
N(E_F)	31.79	states/eV per cell
formation enthalpy at 0 K	0.05	eV per atom
VASP energy	-98.92	eV per cell

a b c (Å): 11.6697 3.6017 17.6477
angles (deg): 90.00 109.15 90.00
Fractional coordinates of all 20 atoms:
Ca: 0.1526 0.2500 0.3111
Ca: 0.8474 0.7500 0.6889
Nd: 0.0625 0.7500 0.0997
Nd: 0.0732 0.2500 0.6031
Nd: 0.1630 0.7500 0.8160
Nd: 0.2537 0.7500 0.5047
Nd: 0.3516 0.2500 0.2016
Nd: 0.4616 0.2500 0.8978
Nd: 0.5384 0.7500 0.1022
Nd: 0.6484 0.7500 0.7984
Nd: 0.7463 0.2500 0.4953
Nd: 0.8370 0.2500 0.1840
Nd: 0.9268 0.7500 0.3969
Nd: 0.9375 0.2500 0.9003
Y: 0.2492 0.2500 0.0018
Y: 0.3540 0.7500 0.7025
Y: 0.4670 0.7500 0.3983
Y: 0.5330 0.2500 0.6017
Y: 0.6460 0.2500 0.2975
Y: 0.7508 0.7500 0.9982

DFT (GGA-PBE) results for a relaxed structure of CaNd6Y.

Output
N(E_F)	12.26	states/eV per cell
formation enthalpy at 0 K	0.04	eV per atom
VASP energy	-36.76	eV per cell

a b c (Å): 5.2043 5.2043 10.4350
angles (deg): 90.00 90.00 90.00
Fractional coordinates of all 8 atoms:
Ca: 0.0000 0.0000 0.0000
Nd: 0.0000 0.5000 0.2563
Nd: 0.0000 0.5000 0.7437
Nd: 0.5000 0.0000 0.2563
Nd: 0.5000 0.0000 0.7437
Nd: 0.5000 0.5000 0.0000
Nd: 0.5000 0.5000 0.5000
Y: 0.0000 0.0000 0.5000

DFT (GGA-PBE) results for a relaxed structure of CaNd2Y.

Output
energy above the most stable polymorph in this dataset	0.0000	eV/atom
N(E_F)	5.34	states/eV per cell
formation enthalpy at 0 K	0.03	eV per atom
VASP energy	-17.87	eV per cell

a b c (Å): 12.3796 12.3796 12.3796
angles (deg): 17.07 17.07 17.07
Fractional coordinates of all 4 atoms:
Ca: 0.0000 0.0000 0.0000
Nd: 0.2458 0.2458 0.2458
Nd: 0.7542 0.7542 0.7542
Y: 0.5000 0.5000 0.5000

DFT (GGA-PBE) results for a relaxed structure of Ca2Nd4Y5.

Output
N(E_F)	16.48	states/eV per cell
formation enthalpy at 0 K	0.10	eV per atom
VASP energy	-54.28	eV per cell

a b c (Å): 9.1894 3.5409 11.7930
angles (deg): 90.00 90.54 90.00
Fractional coordinates of all 11 atoms:
Ca: 0.0476 0.0000 0.1376
Ca: 0.9524 0.0000 0.8624
Nd: 0.2152 0.5000 0.6689
Nd: 0.3924 0.5000 0.2254
Nd: 0.6076 0.5000 0.7746
Nd: 0.7848 0.5000 0.3311
Y: 0.1396 0.0000 0.4130
Y: 0.3386 0.0000 0.9334
Y: 0.5000 0.0000 0.5000
Y: 0.6614 0.0000 0.0666
Y: 0.8604 0.0000 0.5870

DFT (GGA-PBE) results for a relaxed structure of CaNd3Y6.

Output
N(E_F)	18.04	states/eV per cell
formation enthalpy at 0 K	0.23	eV per atom
VASP energy	-52.79	eV per cell

a b c (Å): 6.7604 6.7604 9.6563
angles (deg): 110.26 110.26 59.39
Fractional coordinates of all 10 atoms:
Ca: 0.0000 0.0000 0.0000
Nd: 0.0691 0.0691 0.6918
Nd: 0.5000 0.5000 0.5000
Nd: 0.9309 0.9309 0.3082
Y: 0.0655 0.5590 0.6902
Y: 0.3587 0.3587 0.0742
Y: 0.4410 0.9345 0.3098
Y: 0.5590 0.0655 0.6902
Y: 0.6413 0.6413 0.9258
Y: 0.9345 0.4410 0.3098

DFT (GGA-PBE) results for a relaxed structure of CaNd2Y.

Output
energy above the most stable polymorph in this dataset	0.0625	eV/atom
N(E_F)	10.78	states/eV per cell
formation enthalpy at 0 K	0.09	eV per atom
VASP energy	-35.24	eV per cell

a b c (Å): 12.3652 12.3652 6.6028
angles (deg): 94.18 94.18 16.51
Fractional coordinates of all 8 atoms:
Ca: 0.0011 0.0011 0.2484
Ca: 0.9989 0.9989 0.7516
Nd: 0.1355 0.1355 0.5415
Nd: 0.3732 0.3732 0.9716
Nd: 0.6268 0.6268 0.0284
Nd: 0.8645 0.8645 0.4585
Y: 0.2482 0.2482 0.2483
Y: 0.7518 0.7518 0.7517

DFT (GGA-PBE) results for a relaxed structure of Ca2Nd4Y.

Output
energy above the most stable polymorph in this dataset	0.0000	eV/atom
N(E_F)	10.99	states/eV per cell
formation enthalpy at 0 K	0.12	eV per atom
VASP energy	-28.72	eV per cell

a b c (Å): 12.4513 12.4513 12.4513
angles (deg): 163.40 152.42 32.36
Fractional coordinates of all 7 atoms:
Ca: 0.2212 0.2212 0.0000
Ca: 0.7788 0.7788 0.0000
Nd: 0.0805 0.5805 0.5000
Nd: 0.3698 0.8698 0.5000
Nd: 0.6302 0.1302 0.5000
Nd: 0.9195 0.4195 0.5000
Y: 0.5000 0.5000 0.0000

DFT (GGA-PBE) results for a relaxed structure of Ca2Nd5Y.

Output
N(E_F)	12.43	states/eV per cell
formation enthalpy at 0 K	0.04	eV per atom
VASP energy	-33.97	eV per cell

a b c (Å): 11.2690 11.2690 11.2690
angles (deg): 153.25 153.25 38.19
Fractional coordinates of all 8 atoms:
Ca: 0.2497 0.2497 0.0000
Ca: 0.7503 0.7503 0.0000
Nd: 0.0000 0.0000 0.0000
Nd: 0.1180 0.6180 0.5000
Nd: 0.3820 0.8820 0.5000
Nd: 0.6180 0.1180 0.5000
Nd: 0.8820 0.3820 0.5000
Y: 0.5000 0.5000 0.0000

no.,ρ (g/cm3)
1,4.68
2,4.91
3,5.78
4,4.70
5,4.87
6,5.45
7,4.57
8,4.63
9,5.88
10,4.93
11,4.44
12,5.03
13,4.87
14,5.56
15,5.84
16,4.86
17,4.77
18,4.80
19,4.85
20,4.85
21,5.11